Here is an optimized crystal structure of KLiAu2 from the Alexandria database. Energies are from GGA-PBE.

a = 5.164 Å, b = 5.164 Å, c = 5.164 Å
α = 60.00°, β = 60.00°, γ = 60.00°
Fractional coordinates of all 4 atoms:
K1 0.500 0.500 0.500
Au1 0.250 0.250 0.250
Au2 0.750 0.750 0.750
Li1 0.000 0.000 0.000

Values from the calculation:
* space group: Fm-3m
* excess energy over the best structure of this formula in the dataset: 225 meV per atom
* E_form: -0.1585 eV per atom

Here is an optimized crystal structure of KLiAu2 from the Alexandria database. Energies are from GGA-PBE.

a = 5.413 Å, b = 5.413 Å, c = 5.413 Å
α = 131.28°, β = 113.73°, γ = 86.44°
Fractional coordinates of all 4 atoms:
Au1 0.439 0.439 0.000
Au2 0.061 0.061 0.000
K1 0.750 0.250 0.500
Li1 0.250 0.750 0.500

Values from the calculation:
* space group: Immm
* excess energy over the best structure of this formula in the dataset: 173 meV per atom
* E_form: -0.2097 eV per atom

Here is an optimized crystal structure of KLiAu2 from the Alexandria database. Energies are from GGA-PBE.

a = 5.351 Å, b = 5.351 Å, c = 9.497 Å
α = 73.64°, β = 73.64°, γ = 90.00°
Fractional coordinates of all 8 atoms:
Au1 0.375 0.625 0.750
Li1 0.250 0.750 0.500
Au2 0.375 0.125 0.250
K1 0.750 0.250 0.500
K2 0.000 0.000 0.000
Li2 0.500 0.500 0.000
Au3 0.375 0.625 0.250
Au4 0.875 0.625 0.750

Values from the calculation:
* space group: I4_1/amd
* excess energy over the best structure of this formula in the dataset: 111 meV per atom
* E_form: -0.2725 eV per atom

Here is an optimized crystal structure of K2Li2Au15 from the Alexandria database. Energies are from GGA-PBE.

a = 7.358 Å, b = 7.358 Å, c = 7.358 Å
α = 83.35°, β = 83.35°, γ = 83.35°
Fractional coordinates of all 19 atoms:
Au1 0.697 0.000 0.303
Au2 0.000 0.500 0.000
Au3 0.697 0.303 0.000
Li1 0.899 0.899 0.899
Au4 0.500 0.000 0.000
Li2 0.101 0.101 0.101
Au5 0.000 0.303 0.697
Au6 0.848 0.344 0.344
Au7 0.303 0.697 0.000
Au8 0.152 0.656 0.656
Au9 0.000 0.000 0.500
Au10 0.344 0.344 0.848
Au11 0.000 0.697 0.303
Au12 0.303 0.000 0.697
K1 0.653 0.653 0.653
K2 0.347 0.347 0.347
Au13 0.656 0.656 0.152
Au14 0.656 0.152 0.656
Au15 0.344 0.848 0.344

Values from the calculation:
* space group: R-3m
* E_form: -0.2408 eV per atom

Here is an optimized crystal structure of K2Li4Au from the Alexandria database. Energies are from GGA-PBE.

a = 5.183 Å, b = 5.183 Å, c = 9.700 Å
α = 74.50°, β = 74.50°, γ = 90.00°
Fractional coordinates of all 7 atoms:
Li1 0.139 0.139 0.721
K1 0.649 0.649 0.703
Au1 0.000 0.000 0.000
Li2 0.500 0.000 0.000
Li3 0.000 0.500 0.000
Li4 0.861 0.861 0.279
K2 0.351 0.351 0.297

Values from the calculation:
* space group: I4/mmm
* E_form: -0.0467 eV per atom

Here is an optimized crystal structure of K3LiAu8 from the Alexandria database. Energies are from GGA-PBE.

a = 5.727 Å, b = 5.727 Å, c = 10.046 Å
α = 73.44°, β = 73.44°, γ = 60.00°
Fractional coordinates of all 12 atoms:
Au1 0.688 0.688 0.937
Au2 0.939 0.939 0.680
Au3 0.436 0.933 0.194
Au4 0.443 0.939 0.680
Au5 0.933 0.436 0.194
Au6 0.436 0.436 0.194
Au7 0.939 0.443 0.680
K1 0.999 0.999 0.003
K2 0.501 0.501 0.497
Li1 0.873 0.873 0.380
K3 0.375 0.375 0.875
Au8 0.188 0.188 0.436

Values from the calculation:
* space group: R3m
* E_form: -0.3006 eV per atom

Here is an optimized crystal structure of KNa2LiAu from the Alexandria database. Energies are from GGA-PBE.

a = 5.767 Å, b = 5.767 Å, c = 5.221 Å
α = 90.00°, β = 90.00°, γ = 90.00°
Fractional coordinates of all 5 atoms:
Li1 0.000 0.000 0.500
Na1 0.000 0.500 0.000
Au1 0.000 0.000 0.000
K1 0.500 0.500 0.500
Na2 0.500 0.000 0.000

Values from the calculation:
* space group: P4/mmm
* excess energy over the best structure of this formula in the dataset: 0 meV per atom
* E_form: -0.1217 eV per atom

Here is an optimized crystal structure of KNaLi2Au from the Alexandria database. Energies are from GGA-PBE.

a = 5.209 Å, b = 5.209 Å, c = 5.709 Å
α = 90.00°, β = 90.00°, γ = 90.00°
Fractional coordinates of all 5 atoms:
Na1 0.000 0.000 0.500
Li1 0.500 0.000 0.000
K1 0.500 0.500 0.500
Li2 0.000 0.500 0.000
Au1 0.000 0.000 0.000

Values from the calculation:
* space group: P4/mmm
* excess energy over the best structure of this formula in the dataset: 0 meV per atom
* E_form: -0.1347 eV per atom

Here is an optimized crystal structure of KNa2LiAu from the Alexandria database. Energies are from GGA-PBE.

a = 5.656 Å, b = 5.656 Å, c = 4.957 Å
α = 90.00°, β = 90.00°, γ = 90.00°
Fractional coordinates of all 5 atoms:
Au1 0.000 0.000 0.500
Na1 0.000 0.500 0.000
K1 0.500 0.500 0.500
Na2 0.500 0.000 0.000
Li1 0.000 0.000 0.000

Values from the calculation:
* space group: P4/mmm
* excess energy over the best structure of this formula in the dataset: 82 meV per atom
* E_form: -0.0399 eV per atom

Here is an optimized crystal structure of KNaLi2Au from the Alexandria database. Energies are from GGA-PBE.

a = 5.195 Å, b = 5.195 Å, c = 6.248 Å
α = 90.00°, β = 90.00°, γ = 90.00°
Fractional coordinates of all 5 atoms:
Au1 0.000 0.000 0.000
Na1 0.500 0.500 0.500
Li1 0.000 0.500 0.000
Li2 0.500 0.000 0.000
K1 0.000 0.000 0.500

Values from the calculation:
* space group: P4/mmm
* excess energy over the best structure of this formula in the dataset: 70 meV per atom
* E_form: -0.0649 eV per atom

Here is an optimized crystal structure of K5LiAuO2 from the Alexandria database. Energies are from GGA-PBE.

a = 5.383 Å, b = 5.383 Å, c = 9.154 Å
α = 90.00°, β = 90.00°, γ = 90.00°
Fractional coordinates of all 9 atoms:
O1 0.000 0.000 0.199
K1 0.000 0.500 0.228
Li1 0.000 0.000 0.000
K2 0.000 0.500 0.772
K3 0.500 0.000 0.772
Au1 0.500 0.500 0.500
O2 0.000 0.000 0.801
K4 0.500 0.000 0.228
K5 0.000 0.000 0.500

Values from the calculation:
* space group: P4/mmm
* total energy: -28.4 eV/cell

Here is an optimized crystal structure of KLiPd2Au from the Alexandria database. Energies are from GGA-PBE.

a = 4.597 Å, b = 4.722 Å, c = 4.597 Å
α = 90.00°, β = 90.00°, γ = 90.00°
Fractional coordinates of all 5 atoms:
K1 0.500 0.500 0.500
Li1 0.000 0.000 0.000
Pd1 0.000 0.000 0.500
Pd2 0.500 0.000 0.000
Au1 0.000 0.500 0.000

Values from the calculation:
* space group: P4/mmm
* E_form: 0.1188 eV per atom

Here is an optimized crystal structure of KLiPt2Au from the Alexandria database. Energies are from GGA-PBE.

a = 5.118 Å, b = 5.118 Å, c = 5.550 Å
α = 90.00°, β = 90.00°, γ = 90.00°
Fractional coordinates of all 5 atoms:
Li1 0.500 0.500 0.500
Au1 0.000 0.000 0.500
Pt1 0.000 0.500 0.000
Pt2 0.500 0.000 0.000
K1 0.000 0.000 0.000

Values from the calculation:
* space group: P4/mmm
* E_form: 1.4470 eV per atom

Here is an optimized crystal structure of K2RbLiAu from the Alexandria database. Energies are from GGA-PBE.

a = 6.463 Å, b = 6.463 Å, c = 6.720 Å
α = 90.00°, β = 90.00°, γ = 90.00°
Fractional coordinates of all 5 atoms:
Rb1 0.000 0.000 0.500
K1 0.500 0.000 0.000
Li1 0.500 0.500 0.500
K2 0.000 0.500 0.000
Au1 0.000 0.000 0.000

Values from the calculation:
* space group: P4/mmm
* excess energy over the best structure of this formula in the dataset: 81 meV per atom
* E_form: -0.0011 eV per atom

Here is an optimized crystal structure of K2RbLiAu from the Alexandria database. Energies are from GGA-PBE.

a = 6.670 Å, b = 6.670 Å, c = 5.072 Å
α = 90.00°, β = 90.00°, γ = 90.00°
Fractional coordinates of all 5 atoms:
K1 0.500 0.000 0.000
Li1 0.000 0.000 0.000
K2 0.000 0.500 0.000
Au1 0.000 0.000 0.500
Rb1 0.500 0.500 0.500

Values from the calculation:
* space group: P4/mmm
* excess energy over the best structure of this formula in the dataset: 82 meV per atom
* E_form: 0.0004 eV per atom

Here is an optimized crystal structure of K2RbLiAu from the Alexandria database. Energies are from GGA-PBE.

a = 6.637 Å, b = 6.637 Å, c = 5.392 Å
α = 90.00°, β = 90.00°, γ = 90.00°
Fractional coordinates of all 5 atoms:
K1 0.000 0.500 0.000
K2 0.500 0.000 0.000
Li1 0.000 0.000 0.500
Rb1 0.500 0.500 0.500
Au1 0.000 0.000 0.000

Values from the calculation:
* space group: P4/mmm
* excess energy over the best structure of this formula in the dataset: 0 meV per atom
* E_form: -0.0821 eV per atom

Here is an optimized crystal structure of KRbLi2Au from the Alexandria database. Energies are from GGA-PBE.

a = 5.443 Å, b = 5.443 Å, c = 6.290 Å
α = 90.00°, β = 90.00°, γ = 90.00°
Fractional coordinates of all 5 atoms:
Li1 0.000 0.500 0.000
Li2 0.500 0.000 0.000
Au1 0.000 0.000 0.000
K1 0.000 0.000 0.500
Rb1 0.500 0.500 0.500

Values from the calculation:
* space group: P4/mmm
* E_form: -0.0631 eV per atom

Here is an optimized crystal structure of K2LiRuAu from the Alexandria database. Energies are from GGA-PBE.

a = 6.134 Å, b = 5.175 Å, c = 6.134 Å
α = 90.00°, β = 90.00°, γ = 90.00°
Site moments in Bohr magnetons follow the coordinates.
Fractional coordinates of all 5 atoms:
Au1 0.000 0.000 0.000  0.10
Ru1 0.000 0.500 0.000  2.08
K1 0.000 0.000 0.500  -0.01
K2 0.500 0.000 0.000  -0.01
Li1 0.500 0.500 0.500  -0.01

Values from the calculation:
* space group: P4/mmm
* excess energy over the best structure of this formula in the dataset: 0 meV per atom
* E_form: 0.7282 eV per atom

Here is an optimized crystal structure of K2LiRuAu from the Alexandria database. Energies are from GGA-PBE.

a = 5.852 Å, b = 4.570 Å, c = 5.852 Å
α = 90.00°, β = 90.00°, γ = 90.00°
Site moments in Bohr magnetons follow the coordinates.
Fractional coordinates of all 5 atoms:
Ru1 0.000 0.500 0.000  1.77
K1 0.500 0.000 0.000  0.00
Au1 0.500 0.500 0.500  0.04
Li1 0.000 0.000 0.000  -0.04
K2 0.000 0.000 0.500  0.00

Values from the calculation:
* space group: P4/mmm
* excess energy over the best structure of this formula in the dataset: 127 meV per atom
* E_form: 0.8553 eV per atom

Here is an optimized crystal structure of K2LiAuS from the Alexandria database. Energies are from GGA-PBE.

a = 6.123 Å, b = 6.123 Å, c = 4.491 Å
α = 90.00°, β = 90.00°, γ = 90.00°
Fractional coordinates of all 5 atoms:
Au1 0.500 0.500 0.500
Li1 0.000 0.000 0.500
K1 0.500 0.000 0.000
S1 0.000 0.000 0.000
K2 0.000 0.500 0.000

Values from the calculation:
* space group: P4/mmm
* total energy: -15.2 eV/cell

Here is an optimized crystal structure of KLiSbAu from the Alexandria database. Energies are from GGA-PBE.

a = 4.966 Å, b = 4.959 Å, c = 6.038 Å
α = 114.25°, β = 90.00°, γ = 90.00°
Fractional coordinates of all 4 atoms:
Li1 0.000 0.956 0.911
Sb1 0.000 0.576 0.152
K1 0.500 0.203 0.406
Au1 0.500 0.493 0.986

Values from the calculation:
* space group: Amm2
* total energy: -11.9 eV/cell

Here is an optimized crystal structure of K2LiSb4Au3 from the Alexandria database. Energies are from GGA-PBE.

a = 4.808 Å, b = 4.808 Å, c = 11.559 Å
α = 90.00°, β = 90.00°, γ = 90.00°
Fractional coordinates of all 10 atoms:
Sb1 0.000 0.000 0.000
Li1 0.500 0.500 0.500
Au1 0.500 0.000 0.864
K1 0.000 0.500 0.741
K2 0.500 0.000 0.259
Au2 0.000 0.500 0.136
Sb2 0.500 0.000 0.629
Au3 0.000 0.000 0.500
Sb3 0.000 0.500 0.371
Sb4 0.500 0.500 0.000

Values from the calculation:
* space group: P-4m2
* total energy: -33.9 eV/cell

Here is an optimized crystal structure of KLi2Sb2Au2 from the Alexandria database. Energies are from GGA-PBE.

a = 4.615 Å, b = 4.615 Å, c = 9.836 Å
α = 76.43°, β = 76.43°, γ = 60.00°
Fractional coordinates of all 7 atoms:
Li1 0.858 0.858 0.426
Li2 0.142 0.142 0.574
Sb1 0.755 0.755 0.734
Sb2 0.245 0.245 0.266
K1 0.000 0.000 0.000
Au1 0.556 0.556 0.333
Au2 0.444 0.444 0.667

Values from the calculation:
* space group: R-3m
* total energy: -23.5 eV/cell

Here is an optimized crystal structure of K2LiAuSe from the Alexandria database. Energies are from GGA-PBE.

a = 6.548 Å, b = 4.925 Å, c = 6.548 Å
α = 90.00°, β = 90.00°, γ = 90.00°
Fractional coordinates of all 5 atoms:
K1 0.000 0.000 0.500
Au1 0.000 0.000 0.000
K2 0.500 0.000 0.000
Li1 0.500 0.500 0.500
Se1 0.000 0.500 0.000

Values from the calculation:
* space group: P4/mmm
* excess energy over the best structure of this formula in the dataset: 513 meV per atom

Here is an optimized crystal structure of K2LiAuSe from the Alexandria database. Energies are from GGA-PBE.

a = 6.301 Å, b = 6.301 Å, c = 4.696 Å
α = 90.00°, β = 90.00°, γ = 90.00°
Fractional coordinates of all 5 atoms:
Li1 0.000 0.000 0.500
K1 0.500 0.000 0.000
Au1 0.500 0.500 0.500
Se1 0.000 0.000 0.000
K2 0.000 0.500 0.000

Values from the calculation:
* space group: P4/mmm
* excess energy over the best structure of this formula in the dataset: 0 meV per atom

Here is an optimized crystal structure of K2LiSiAu6 from the Alexandria database. Energies are from GGA-PBE.

a = 7.247 Å, b = 6.810 Å, c = 6.808 Å
α = 60.00°, β = 61.93°, γ = 89.96°
Fractional coordinates of all 10 atoms:
K1 0.374 0.791 0.418
Au1 0.146 0.246 0.099
Au2 0.146 0.654 0.100
Si1 0.000 0.000 0.000
Au3 0.854 0.754 0.901
Au4 0.145 0.245 0.509
Au5 0.855 0.755 0.491
Li1 0.500 0.500 0.000
K2 0.626 0.209 0.582
Au6 0.854 0.346 0.900

Values from the calculation:
* space group: C2/m
* total energy: -32.3 eV/cell

Here is an optimized crystal structure of KLi2Si2Au2 from the Alexandria database. Energies are from GGA-PBE.

a = 4.448 Å, b = 4.448 Å, c = 8.657 Å
α = 104.89°, β = 90.00°, γ = 120.01°
Fractional coordinates of all 7 atoms:
Si1 0.552 0.104 0.653
Li1 0.869 0.739 0.605
Si2 0.448 0.896 0.347
Au1 0.236 0.472 0.705
Au2 0.764 0.528 0.295
Li2 0.131 0.261 0.395
K1 0.000 0.000 0.000

Values from the calculation:
* space group: C2/m
* total energy: -24.9 eV/cell